1.
A geometry-optimized PrSm3Pt8 structure, computed with PBE.

The structure in POSCAR format:
```
PrSm3Pt8
1.0
5.510 0.000 0.000
-2.755 4.771 0.000
0.000 0.000 9.019
Pr Sm Pt
1 3 8
direct
0.000 0.000 0.000 Pr
0.000 0.000 0.371 Sm
0.667 0.333 0.498 Sm
0.667 0.333 0.867 Sm
0.165 0.330 0.683 Pt
0.165 0.835 0.683 Pt
0.333 0.667 0.434 Pt
0.333 0.667 0.934 Pt
0.502 0.004 0.186 Pt
0.502 0.498 0.186 Pt
0.670 0.835 0.683 Pt
0.996 0.498 0.186 Pt
```

Calculated values
Calculated volume: 237.1 Å³/f.u.
Density of states at the Fermi level: 4.9 states/eV/f.u.
ΔE_f: -1016 meV per atom

---

2.
A geometry-optimized PrSm3Pt2 structure, computed with PBE.

The structure in POSCAR format:
```
PrSm3Pt2
1.0
6.540 -3.454 0.000
6.540 3.454 0.000
-2.405 0.000 7.557
Pr Sm Pt
2 6 4
direct
0.247 0.753 0.750 Pr
0.753 0.247 0.250 Pr
0.214 0.216 0.107 Sm
0.216 0.214 0.607 Sm
0.261 0.739 0.250 Sm
0.739 0.261 0.750 Sm
0.784 0.786 0.393 Sm
0.786 0.784 0.893 Sm
0.375 0.376 0.438 Pt
0.376 0.375 0.938 Pt
0.624 0.625 0.062 Pt
0.625 0.624 0.562 Pt
```

Calculated values
Relative energy among the computed polymorphs: 0 meV/atom
Calculated volume: 170.7 Å³/f.u.
Density of states at the Fermi level: 6.8 states/eV/f.u.
ΔE_f: -758 meV per atom

---

3.
A geometry-optimized Pr3SmPt structure, computed with PBE.

The structure in POSCAR format:
```
Pr3SmPt
1.0
6.276 -1.947 0.000
6.276 1.947 0.000
-6.024 0.000 12.908
Pr Sm Pt
6 2 2
direct
0.000 0.000 0.000 Pr
0.020 0.020 0.369 Pr
0.333 0.333 0.766 Pr
0.354 0.354 0.130 Pr
0.682 0.682 0.238 Pr
0.795 0.795 0.529 Pr
0.561 0.561 0.609 Sm
0.672 0.672 0.892 Sm
0.019 0.019 0.743 Pt
0.343 0.343 0.394 Pt
```

Calculated values
Relative energy among the computed polymorphs: 0 meV/atom
Calculated volume: 157.7 Å³/f.u.
Density of states at the Fermi level: 6.1 states/eV/f.u.
ΔE_f: -470 meV per atom

---

4.
A geometry-optimized Pr2SmSn3Pt4 structure, computed with PBE.

The structure in POSCAR format:
```
Pr2SmSn3Pt4
1.0
4.629 0.000 0.000
0.000 4.629 0.000
0.000 0.000 11.213
Pr Sm Sn Pt
2 1 3 4
direct
0.000 0.500 0.217 Pr
0.500 0.000 0.783 Pr
0.000 0.000 0.500 Sm
0.000 0.500 0.877 Sn
0.500 0.000 0.123 Sn
0.500 0.500 0.500 Sn
0.000 0.000 0.000 Pt
0.000 0.500 0.645 Pt
0.500 0.000 0.355 Pt
0.500 0.500 0.000 Pt
```

Calculated values
Calculated volume: 240.3 Å³/f.u.
Density of states at the Fermi level: 7.1 states/eV/f.u.
ΔE_f: -891 meV per atom

---

5.
A geometry-optimized TbPr2SmPt2 structure, computed with PBE.

The structure in POSCAR format:
```
TbPr2SmPt2
1.0
-3.449 7.166 3.447
3.449 -7.166 3.447
3.449 7.166 -3.447
Tb Pr Sm Pt
2 4 2 4
direct
0.250 0.250 0.000 Tb
0.750 0.750 0.000 Tb
0.192 0.220 0.412 Pr
0.308 0.720 0.028 Pr
0.692 0.280 0.972 Pr
0.808 0.780 0.588 Pr
0.250 0.750 0.500 Sm
0.750 0.250 0.500 Sm
0.110 0.763 0.873 Pt
0.390 0.263 0.653 Pt
0.610 0.737 0.347 Pt
0.890 0.237 0.127 Pt
```

Calculated values
Calculated volume: 170.4 Å³/f.u.
Density of states at the Fermi level: 6.6 states/eV/f.u.
ΔE_f: -792 meV per atom

---

6.
A geometry-optimized PrSmTePt structure, computed with PBE.

The structure in POSCAR format:
```
PrSmTePt
1.0
2.130 1.230 7.552
-2.130 1.230 7.552
0.000 -2.459 7.552
Pr Sm Te Pt
1 1 1 1
direct
0.000 0.000 0.000 Pr
0.476 0.476 0.476 Sm
0.237 0.237 0.237 Te
0.740 0.740 0.740 Pt
```

Calculated values
Calculated volume: 118.7 Å³/f.u.
Density of states at the Fermi level: 2.0 states/eV/f.u.
E_form (uncorrected): -1.257 eV per atom

---

7.
A geometry-optimized PrSmTh2Pt4 structure, computed with PBE.

The structure in POSCAR format:
```
PrSmTh2Pt4
1.0
0.000 5.949 4.188
4.187 0.000 4.188
4.187 5.949 0.000
Pr Sm Th Pt
1 1 2 4
direct
0.000 0.000 0.000 Pr
0.501 0.501 0.499 Sm
0.251 0.251 0.249 Th
0.751 0.751 0.749 Th
0.001 0.500 0.999 Pt
0.254 0.749 0.251 Pt
0.500 0.001 0.500 Pt
0.749 0.254 0.746 Pt
```

Calculated values
Calculated volume: 208.6 Å³/f.u.
Density of states at the Fermi level: 3.0 states/eV/f.u.
ΔE_f: -1163 meV per atom

---

8.
A geometry-optimized Pr4SnPt2 structure, computed with PBE.

The structure in POSCAR format:
```
Pr4SnPt2
1.0
0.000 6.758 7.006
4.727 0.000 7.006
4.727 6.758 0.000
Pr Sn Pt
8 2 4
direct
0.140 0.282 0.304 Pr
0.226 0.696 0.718 Pr
0.282 0.140 0.774 Pr
0.304 0.774 0.140 Pr
0.696 0.226 0.860 Pr
0.718 0.860 0.226 Pr
0.774 0.304 0.282 Pr
0.860 0.718 0.696 Pr
0.375 0.375 0.375 Sn
0.625 0.625 0.625 Sn
0.000 0.000 0.000 Pt
0.000 0.000 0.500 Pt
0.000 0.500 0.000 Pt
0.500 0.000 0.000 Pt
```

Calculated values
Calculated volume: 223.8 Å³/f.u.
Density of states at the Fermi level: 8.6 states/eV/f.u.
ΔE_f: -738 meV per atom